w.
A relaxed Mg6CdCoO8 crystal. Source: the Alexandria database, functional GGA+U.

a = 4.363 Å, b = 4.363 Å, c = 8.678 Å
α = 90.00°, β = 90.00°, γ = 90.00°
Fractional positions:
1 Mg 0.500 0.500 0.000
2 Mg 0.500 0.500 0.500
3 Mg 0.000 0.500 0.242
4 Mg 0.000 0.500 0.758
5 Mg 0.500 0.000 0.242
6 Mg 0.500 0.000 0.758
7 Cd 0.000 0.000 0.500
8 Co 0.000 0.000 0.000
9 O 0.000 0.000 0.234
10 O 0.000 0.000 0.766
11 O 0.500 0.500 0.250
12 O 0.500 0.500 0.750
13 O 0.000 0.500 0.000
14 O 0.000 0.500 0.500
15 O 0.500 0.000 0.000
16 O 0.500 0.000 0.500

Computed properties:
Density of states at the Fermi level = 4.93 states/eV per cell
Space group = P4/mmm (123)



x.
A relaxed Mg6CdCoO8 crystal. Source: the Alexandria database, functional GGA+U.

a = 4.351 Å, b = 4.351 Å, c = 8.727 Å
α = 90.00°, β = 90.00°, γ = 90.00°
Fractional positions:
1 Mg 0.000 0.000 0.500
2 Mg 0.500 0.500 0.500
3 Mg 0.000 0.500 0.257
4 Mg 0.000 0.500 0.743
5 Mg 0.500 0.000 0.257
6 Mg 0.500 0.000 0.743
7 Cd 0.500 0.500 0.000
8 Co 0.000 0.000 0.000
9 O 0.000 0.000 0.254
10 O 0.000 0.000 0.746
11 O 0.500 0.500 0.266
12 O 0.500 0.500 0.734
13 O 0.000 0.500 0.000
14 O 0.000 0.500 0.500
15 O 0.500 0.000 0.000
16 O 0.500 0.000 0.500

Computed properties:
Space group = P4/mmm (123)



If you had to name the least stable structure above, which would it be? It would be w.